# Ho2ErSi6 (PBE, relaxed)
data_Ho2ErSi6
_symmetry_space_group_name_H-M 'P 6/m m m'
_symmetry_Int_Tables_number 191
_symmetry_space_group_name_Hall '-P 6 2'
_cell_length_a 7.0762
_cell_length_b 7.0762
_cell_length_c 3.9054
_cell_angle_alpha 90.00
_cell_angle_beta 90.00
_cell_angle_gamma 120.00
loop_
_atom_site_label
_atom_site_type_symbol
_atom_site_fract_x
_atom_site_fract_y
_atom_site_fract_z
Ho1 Ho 0.3333 0.6667 0.0000
Er1 Er 0.0000 0.0000 0.0000
Si1 Si 0.0000 0.3330 0.5000
# ρ (Mg/m³): 6.53
# Crystal system: hexagonal

***

# Ho3Er2Si4 (PBE, relaxed)
data_Ho3Er2Si4
_symmetry_space_group_name_H-M 'P 1 21/c 1'
_symmetry_Int_Tables_number 14
_symmetry_space_group_name_Hall '-P 2ybc'
_cell_length_a 7.589
_cell_length_b 7.647
_cell_length_c 7.358
_cell_angle_alpha 90.00
_cell_angle_beta 106.47
_cell_angle_gamma 90.00
loop_
_atom_site_label
_atom_site_type_symbol
_atom_site_fract_x
_atom_site_fract_y
_atom_site_fract_z
Ho1 Ho 0.000 0.000 0.000
Ho2 Ho 0.257 0.182 0.747
Er1 Er 0.300 0.682 0.912
Si1 Si 0.012 0.622 0.123
Si2 Si 0.419 0.028 0.124
# ρ (Mg/m³): 7.64
# Crystal system: monoclinic

***

# HoErSi2 (PBE, relaxed)
data_HoErSi2
_symmetry_space_group_name_H-M 'A m m 2'
_symmetry_Int_Tables_number 38
_symmetry_space_group_name_Hall 'A 2 -2'
_cell_length_a 3.814
_cell_length_b 4.245
_cell_length_c 10.461
_cell_angle_alpha 90.00
_cell_angle_beta 90.00
_cell_angle_gamma 90.00
loop_
_atom_site_label
_atom_site_type_symbol
_atom_site_fract_x
_atom_site_fract_y
_atom_site_fract_z
Ho1 Ho 0.000 0.000 0.000
Er1 Er 0.500 0.000 0.280
Si1 Si 0.000 0.000 0.717
Si2 Si 0.500 0.000 0.563
# Distance to the lowest polymorph of the same formula (meV per atom): 0.0
# ρ (Mg/m³): 7.62
# Crystal system: orthorhombic

***

# HoErSi2 (PBE, relaxed)
data_HoErSi2
_symmetry_space_group_name_H-M 'R -3 m'
_symmetry_Int_Tables_number 166
_symmetry_space_group_name_Hall '-R 3 2"'
_cell_length_a 4.5503
_cell_length_b 4.5503
_cell_length_c 15.0792
_cell_angle_alpha 90.00
_cell_angle_beta 90.00
_cell_angle_gamma 120.00
loop_
_atom_site_label
_atom_site_type_symbol
_atom_site_fract_x
_atom_site_fract_y
_atom_site_fract_z
Ho1 Ho 0.0000 0.0000 0.0000
Er1 Er 0.0000 0.0000 0.5000
Si1 Si 0.0000 0.0000 0.2490
# Distance to the lowest polymorph of the same formula (meV per atom): 306.8
# ρ (Mg/m³): 7.16
# Crystal system: trigonal

***

| no. | raw total energy (eV/atom) |
| --- | --- |
| 1 | -5.6461 |
| 2 | -5.6876 |
| 3 | -5.8213 |
| 4 | -5.5145 |